(1)
NbCdFe, optimized geometry, DFT PBE-GGA; space group = R-3m (166); ΔE_f = 0.335 eV/atom
1.0
-2.806 0.944 -3.206
0.197 -2.170 -3.781
-5.158 -4.989 0.076
Fe Cd Nb
2 2 2
Cartesian
-1.800 -1.403 -1.807 Fe
-5.967 -4.813 -5.103 Fe
-3.548 -3.270 -0.827 Cd
-4.219 -2.946 -6.084 Cd
-5.498 -4.833 -2.549 Nb
-2.268 -1.382 -4.361 Nb

(2)
NbCd2Fe, optimized geometry, DFT PBE-GGA; space group = Fm-3m (225); ΔE_f = 0.626 eV/atom; ΔE to the lowest computed polymorph = 0.0 kJ per mole of atoms
1.0
0.000 3.249 3.249
3.249 0.000 3.249
3.249 3.249 0.000
Nb Fe Cd
1 1 2
Cartesian
3.249 3.249 3.249 Nb
0.000 0.000 0.000 Fe
1.624 1.624 1.624 Cd
4.873 4.873 4.873 Cd

(3)
Nb2CdFe, optimized geometry, DFT PBE-GGA; space group = R-3m (166); ΔE_f = 0.479 eV/atom
1.0
2.868 0.000 0.000
1.434 2.484 0.000
1.434 0.828 10.223
Nb Fe Cd
2 1 1
Cartesian
1.434 0.828 7.195 Nb
4.303 2.484 3.028 Nb
2.868 1.656 5.111 Fe
0.000 0.000 0.000 Cd

(4)
Nb2CdFe, optimized geometry, DFT PBE-GGA; space group = I-42d (122); ΔE_f = 0.852 eV/atom
1.0
3.852 0.000 0.000
0.000 3.852 0.000
1.926 1.926 9.743
Nb Fe Cd
4 2 2
Cartesian
2.838 0.963 2.436 Nb
1.014 2.889 2.436 Nb
2.889 2.940 7.307 Nb
4.815 4.764 7.307 Nb
1.926 1.926 0.000 Fe
1.926 3.852 4.871 Fe
0.000 0.000 0.000 Cd
3.852 1.926 4.871 Cd

Calculated spin magnetization, 0.00, 0.00, 1.38, 0.00 μB/f.u. (same order as the records).
Calculated theoretical density, 7.83, 9.05, 8.07, 8.13 g/cm³ (same order as the records).